Na2ZnPd: optimized geometry, GGA-PBE.

extended XYZ file:
```
8
Lattice="-1.930 1.930 10.497 1.930 -1.930 10.497 1.930 1.930 -10.497" Properties=species:S:1:pos:R:3 pbc="T T T"
Na 2.895 0.947 -2.624
Na 0.947 0.965 2.624
Na -0.965 0.983 7.873
Na 0.983 0.965 13.121
Zn 1.930 0.000 5.249
Zn 0.000 0.000 10.497
Pd 0.000 0.000 0.000
Pd 0.000 1.930 5.249
```

Values from the calculation:
- symmetry = No. 122
- DFT formation energy (eV/atom) = 0.06